CoB3W3: PBEsol geometry, meta-GGA SCAN.

The crystal system is orthorhombic. For the formation enthalpy at 0 K, the calculation gives -368 meV/atom.

The structure belongs to space group Cmcm (No. 63); the cell edges are 3.163, 8.394 and 10.703 Å and the angles 90.00°, 90.00° and 90.00°. The distinct sites, in fractional coordinates, are Co at (0.000, 0.000, 0.000), B at (0.000, 0.291, 0.250), B at (0.000, 0.415, 0.102), W at (0.000, 0.002, 0.750) and W at (0.000, 0.289, 0.606).